1.
Here is an optimized crystal structure of ScSiPd from the Open Quantum Materials Database. Energies are from GGA-PBE.

Cell lengths 6.5731, 4.0443, 7.4970 Å; angles 90.00, 90.00, 90.00 degrees
Last column: nearest neighbours and their distance in Å.
Positions (direct):
Sc 0.0132 0.2500 0.1894  5 Si 2.85-2.86, 6 Pd 2.95-3.06
Sc 0.4868 0.7500 0.6894  5 Si 2.85-2.86, 6 Pd 2.95-3.06
Sc 0.5132 0.2500 0.3106  5 Si 2.85-2.86, 6 Pd 2.95-3.06
Sc 0.9868 0.7500 0.8106  5 Si 2.85-2.86, 6 Pd 2.95-3.06
Si 0.2217 0.7500 0.3882  4 Pd 2.47-2.56
Si 0.2783 0.2500 0.8882  4 Pd 2.47-2.56
Si 0.7217 0.7500 0.1118  4 Pd 2.47-2.56
Si 0.7783 0.2500 0.6118  4 Pd 2.47-2.56
Pd 0.1655 0.2500 0.5701  4 Si 2.47-2.56
Pd 0.3345 0.7500 0.0701  4 Si 2.47-2.56
Pd 0.6655 0.2500 0.9299  4 Si 2.47-2.56
Pd 0.8345 0.7500 0.4299  4 Si 2.47-2.56

Summary:
Magnetic moment ... 0.000 μB/atom

2.
Here is an optimized crystal structure of LuInNiW from the Open Quantum Materials Database. Energies are from GGA-PBE.

Cell lengths 4.7295, 4.7295, 4.7295 Å; angles 60.00, 60.00, 60.00 degrees
Last column: nearest neighbours and their distance in Å.
Positions (direct):
Lu 0.0000 0.0000 0.0000  4 In 2.90, 4 W 2.90
In 0.2500 0.2500 0.2500  4 Ni 2.90, 4 Lu 2.90
Ni 0.5000 0.5000 0.5000  4 W 2.90, 4 In 2.90
W 0.7500 0.7500 0.7500  4 Ni 2.90, 4 Lu 2.90

Summary:
Magnetic moment ... 0.681 μB/atom

3.
Here is an optimized crystal structure of Ta6IrPt from the Open Quantum Materials Database. Energies are from GGA-PBE.

Cell lengths 5.1752, 5.1752, 5.1752 Å; angles 90.00, 90.00, 90.00 degrees
Last column: nearest neighbours and their distance in Å.
Positions (direct):
Ta 0.0000 0.2490 0.5000  2 Ta 2.58-2.60
Ta 0.0000 0.7510 0.5000  2 Ta 2.58-2.60
Ta 0.2490 0.5000 0.0000  2 Ta 2.58-2.60
Ta 0.5000 0.0000 0.2490  2 Ta 2.58-2.60
Ta 0.5000 0.0000 0.7510  2 Ta 2.58-2.60
Ta 0.7510 0.5000 0.0000  2 Ta 2.58-2.60
Ir 0.0000 0.0000 0.0000  12 Ta 2.89
Pt 0.5000 0.5000 0.5000  12 Ta 2.90

Summary:
Magnetic moment ... 0.002 μB/atom

4.
Here is an optimized crystal structure of Li2Tm2O5 from the Open Quantum Materials Database. Energies are from GGA-PBE.

Cell lengths 4.0646, 4.0646, 7.7805 Å; angles 90.00, 90.00, 90.00 degrees
Last column: nearest neighbours and their distance in Å.
Positions (direct):
Li 0.0000 0.0000 0.0000  8 O 2.34
Li 0.0000 0.0000 0.5000  4 O 2.87
Tm 0.5000 0.5000 0.2308  5 O 2.09-2.13
Tm 0.5000 0.5000 0.7692  5 O 2.09-2.13
O 0.0000 0.5000 0.1485  2 Tm 2.13, 1 O 2.31, 2 Li 2.34
O 0.0000 0.5000 0.8515  2 Tm 2.13, 1 O 2.31, 2 Li 2.34
O 0.5000 0.0000 0.1485  2 Tm 2.13, 1 O 2.31, 2 Li 2.34
O 0.5000 0.0000 0.8515  2 Tm 2.13, 1 O 2.31, 2 Li 2.34
O 0.5000 0.5000 0.5000  2 Tm 2.09

Summary:
Magnetic moment ... 0.223 μB/atom

5.
Here is an optimized crystal structure of H2Pt from the Open Quantum Materials Database. Energies are from GGA-PBE.

Cell lengths 5.4732, 5.4732, 5.4732 Å; angles 60.00, 60.00, 60.00 degrees
Last column: nearest neighbours and their distance in Å.
Positions (direct):
H 0.0000 0.0000 0.0000  2 Pt 1.68
H 0.0000 0.0000 0.5000  2 Pt 1.68
H 0.0000 0.5000 0.0000  2 Pt 1.68
H 0.5000 0.0000 0.0000  2 Pt 1.68
Pt 0.1250 0.1250 0.1250  4 H 1.68
Pt 0.8750 0.8750 0.8750  4 H 1.68

Summary:
Magnetic moment ... 0.001 μB/atom

6.
Here is an optimized crystal structure of Ho3Al2InGe2Pt from the Open Quantum Materials Database. Energies are from GGA-PBE.

Cell lengths 4.2632, 7.0066, 7.0066 Å; angles 117.98, 90.00, 90.00 degrees
Last column: nearest neighbours and their distance in Å.
Positions (direct):
Ho 0.0000 0.0000 0.0000  1 Pt 2.80, 4 Ge 3.04
Ho 0.0000 0.1687 0.5806  4 Ge 2.95-3.05, 1 Pt 3.01, 2 Al 3.25, 2 In 3.27
Ho 0.0000 0.5806 0.1687  4 Ge 2.95-3.05, 1 Pt 3.01, 2 Al 3.25, 2 In 3.27
Al 0.5000 0.5890 0.8234  2 Pt 2.64, 2 Ge 2.67-2.76, 1 Al 2.82, 1 In 2.95
Al 0.5000 0.8234 0.5890  2 Pt 2.64, 2 Ge 2.67-2.76, 1 Al 2.82, 1 In 2.95
In 0.5000 0.3470 0.3470  2 Pt 2.86, 2 Ge 2.86, 2 Al 2.95
Ge 0.5000 0.2513 0.9021  2 Al 2.67-2.76, 1 In 2.86, 2 Ho 2.95
Ge 0.5000 0.9021 0.2513  2 Al 2.67-2.76, 1 In 2.86, 2 Ho 2.95
Pt 0.0000 0.6120 0.6120  4 Al 2.64, 1 Ho 2.80, 2 In 2.86

Summary:
Magnetic moment ... 0.000 μB/atom

7.
Here is an optimized crystal structure of LiScGaNi from the Open Quantum Materials Database. Energies are from GGA-PBE.

Cell lengths 4.3397, 4.3397, 4.3397 Å; angles 60.00, 60.00, 60.00 degrees
Last column: nearest neighbours and their distance in Å.
Positions (direct):
Li 0.0000 0.0000 0.0000  4 Sc 2.66, 4 Ga 2.66
Sc 0.7500 0.7500 0.7500  4 Li 2.66, 4 Ni 2.66
Ga 0.2500 0.2500 0.2500  4 Li 2.66, 4 Ni 2.66
Ni 0.5000 0.5000 0.5000  4 Sc 2.66, 4 Ga 2.66

Summary:
Magnetic moment ... 0.001 μB/atom

8.
Here is an optimized crystal structure of NaCoSnGe from the Open Quantum Materials Database. Energies are from GGA-PBE.

Cell lengths 4.7446, 4.7446, 4.7446 Å; angles 60.00, 60.00, 60.00 degrees
Last column: nearest neighbours and their distance in Å.
Positions (direct):
Na 0.0000 0.0000 0.0000  4 Ge 2.91, 4 Co 2.91
Co 0.2500 0.2500 0.2500  4 Sn 2.91, 4 Na 2.91
Sn 0.5000 0.5000 0.5000  4 Ge 2.91, 4 Co 2.91
Ge 0.7500 0.7500 0.7500  4 Na 2.91, 4 Sn 2.91

Summary:
Magnetic moment ... 0.361 μB/atom

no.,V (Å³ per atom),final energy (eV per cell)
1,16.61,-79.5
2,18.70,-23.6
3,17.33,-89.6
4,14.28,-56.8
5,19.32,-23.2
6,20.54,-46.8
7,14.45,-18.8
8,18.88,-15.4